[1]
SmScHgRu: relaxed, PBE-GGA.

The formation enthalpy at 0 K is -0.300 eV/atom. The total energy is -87.32 eV for the cell shown. For the density of states at the Fermi level, the calculation gives 17.802 states/eV per cell. The energy above the most stable polymorph in this dataset comes out at 14.87 kJ/mol of atoms. The calculation puts the total magnetic moment at 0.000 μB per formula unit.

The structure belongs to space group F-43m (No. 216); the cell edges are 7.011, 7.011 and 7.011 Å and the angles 90.00°, 90.00° and 90.00°. The asymmetric unit holds Sm at (0.000, 0.000, 0.000), Sc at (0.000, 0.000, 0.500), Hg at (0.250, 0.250, 0.750) and Ru at (0.250, 0.250, 0.250).

=====

[2]
Pr4Zn2Pb: relaxed, PBE-GGA.

The formation enthalpy at 0 K is -0.228 eV/atom. The total energy is -80.91 eV for the cell shown. For the density of states at the Fermi level, the calculation gives 25.250 states/eV per cell. The calculation puts the total magnetic moment at 0.000 μB per formula unit.

The structure belongs to space group R-3m (No. 166, hexagonal axes); the cell edges are 5.2900, 5.2900 and 25.6545 Å and the angles 90.00°, 90.00° and 120.00°. The asymmetric unit holds Pr at (0.0000, 0.0000, 0.1146), Pr at (0.0000, 0.0000, 0.3671), Zn at (0.0000, 0.0000, 0.2481) and Pb at (0.0000, 0.0000, 0.5000).

=====

[3]
Ho2BeO: relaxed, PBE-GGA.

The total energy is -61.53 eV for the cell shown. For the density of states at the Fermi level, the calculation gives 6.522 states/eV per cell. Its energy relative to the elements, uncorrected is -0.667 eV per atom. The calculation puts the total magnetic moment at 0.000 μB per formula unit.

The structure belongs to space group R-3m (No. 166, hexagonal axes); the cell edges are 3.4008, 3.4008 and 24.9715 Å and the angles 90.00°, 90.00° and 120.00°. The asymmetric unit holds Ho at (0.0000, 0.0000, 0.1129), Be at (0.0000, 0.0000, 0.0000) and O at (0.0000, 0.0000, 0.5000).

=====

[4]
TbSc3As3: relaxed, PBE-GGA.

The formation enthalpy at 0 K is -1.201 eV/atom. The total energy is -183.92 eV for the cell shown. For the density of states at the Fermi level, the calculation gives 28.667 states/eV per cell. The energy above the most stable polymorph in this dataset comes out at 0.00 kJ/mol of atoms. The calculation puts the total magnetic moment at 0.000 μB per formula unit.

The structure belongs to space group P2_13 (No. 198); the cell edges are 8.342, 8.342 and 8.342 Å and the angles 90.00°, 90.00° and 90.00°. The asymmetric unit holds Tb at (0.067, 0.433, 0.567), Sc at (0.072, 0.572, 0.928), Sc at (0.179, 0.821, 0.321), Sc at (0.184, 0.184, 0.184) and As at (0.003, 0.259, 0.879).

=====

[5]
YSc3B: relaxed, PBE-GGA.

The formation enthalpy at 0 K is -0.024 eV/atom. The total energy is -32.26 eV for the cell shown. For the density of states at the Fermi level, the calculation gives 7.535 states/eV per cell. The energy above the most stable polymorph in this dataset comes out at 0.00 kJ/mol of atoms. The calculation puts the total magnetic moment at 0.000 μB per formula unit.

The structure belongs to space group Pm-3m (No. 221); the cell edges are 4.837, 4.837 and 4.837 Å and the angles 90.00°, 90.00° and 90.00°. The asymmetric unit holds Y at (0.000, 0.000, 0.000), Sc at (0.000, 0.500, 0.500) and B at (0.500, 0.500, 0.500).

=====

[6]
ErSc2Ir3: relaxed, PBE-GGA.

The formation enthalpy at 0 K is -0.952 eV/atom. The total energy is -49.52 eV for the cell shown. For the density of states at the Fermi level, the calculation gives 2.722 states/eV per cell. The calculation puts the total magnetic moment at 0.000 μB per formula unit.

The structure belongs to space group P4/mmm (No. 123); the cell edges are 3.174, 3.174 and 10.534 Å and the angles 90.00°, 90.00° and 90.00°. The asymmetric unit holds Er at (0.000, 0.000, 0.000), Sc at (0.000, 0.000, 0.339), Ir at (0.500, 0.500, 0.181) and Ir at (0.500, 0.500, 0.500).

=====

[7]
HoPuBiTe: relaxed, PBE-GGA.

The total energy is -88.80 eV for the cell shown. For the density of states at the Fermi level, the calculation gives 37.719 states/eV per cell. Its energy relative to the elements, uncorrected is -0.917 eV per atom. The calculation puts the total magnetic moment at 5.747 μB per formula unit.

The structure belongs to space group R3m (No. 160, hexagonal axes); the cell edges are 4.4553, 4.4553 and 21.7730 Å and the angles 90.00°, 90.00° and 120.00°. The asymmetric unit holds Ho at (0.0000, 0.0000, 0.0000), Pu at (0.0000, 0.0000, 0.5010), Bi at (0.0000, 0.0000, 0.7479) and Te at (0.0000, 0.0000, 0.2520).

=====

[8]
Zr4FeRh: relaxed, PBE-GGA.

The formation enthalpy at 0 K is -0.352 eV/atom. The total energy is -104.24 eV for the cell shown. For the density of states at the Fermi level, the calculation gives 14.033 states/eV per cell. The energy above the most stable polymorph in this dataset comes out at 0.00 kJ/mol of atoms. The calculation puts the total magnetic moment at 0.000 μB per formula unit.

The structure belongs to space group P4/mcc (No. 124); the cell edges are 6.389, 6.389 and 5.748 Å and the angles 90.00°, 90.00° and 90.00°. The asymmetric unit holds Zr at (0.166, 0.317, 0.000), Fe at (0.000, 0.000, 0.250) and Rh at (0.500, 0.500, 0.250).

=====

[9]
MnTlFe: relaxed, PBE-GGA.

The formation enthalpy at 0 K is 0.483 eV/atom. The total energy is -37.10 eV for the cell shown. For the density of states at the Fermi level, the calculation gives 7.301 states/eV per cell. The calculation puts the total magnetic moment at 5.440 μB per formula unit.

The structure belongs to space group I4mm (No. 107); the cell edges are 3.208, 3.208 and 9.328 Å and the angles 90.00°, 90.00° and 90.00°. The asymmetric unit holds Mn at (0.000, 0.000, 0.000), Tl at (0.000, 0.000, 0.690) and Fe at (0.000, 0.000, 0.373).

=====

[10]
Tb2Nd6YEr: relaxed, PBE-GGA.

The formation enthalpy at 0 K is 0.113 eV/atom. The total energy is -191.05 eV for the cell shown. For the density of states at the Fermi level, the calculation gives 55.787 states/eV per cell. The calculation puts the total magnetic moment at 0.000 μB per formula unit.

The structure belongs to space group C2/c (No. 15); the cell edges are 9.244, 15.435 and 9.674 Å and the angles 90.00°, 97.34° and 90.00°. The asymmetric unit holds Tb at (0.249, 0.051, 0.455), Nd at (0.059, 0.320, 0.947), Nd at (0.102, 0.108, 0.118), Nd at (0.212, 0.277, 0.311), Y at (0.000, 0.474, 0.250) and Er at (0.000, 0.088, 0.750).

=====

[11]
Ce2CoBr: relaxed, PBE-GGA.

The total energy is -70.45 eV for the cell shown. For the density of states at the Fermi level, the calculation gives 31.189 states/eV per cell. Its energy relative to the elements, uncorrected is -0.709 eV per atom. The energy above the most stable polymorph in this dataset comes out at 0.00 kJ/mol of atoms. The calculation puts the total magnetic moment at 1.627 μB per formula unit.

The structure belongs to space group R-3m (No. 166, hexagonal axes); the cell edges are 3.9543, 3.9543 and 22.8319 Å and the angles 90.00°, 90.00° and 120.00°. The asymmetric unit holds Ce at (0.0000, 0.0000, 0.2299), Co at (0.0000, 0.0000, 0.5000) and Br at (0.0000, 0.0000, 0.0000).

=====

[12]
Na3Mn5Te12: relaxed, PBE-GGA.

The total energy is -729.80 eV for the cell shown. For the density of states at the Fermi level, the calculation gives 76.907 states/eV per cell. Its energy relative to the elements, uncorrected is -0.186 eV per atom. The calculation puts the total magnetic moment at 14.091 μB per formula unit.

The structure belongs to space group Ia-3d (No. 230); the cell edges are 16.875, 16.875 and 16.875 Å and the angles 90.00°, 90.00° and 90.00°. The asymmetric unit holds Na at (0.000, 0.250, 0.125), Mn at (0.000, 0.000, 0.000), Mn at (0.000, 0.250, 0.375) and Te at (0.041, 0.066, 0.641).